# 1
Compound: MnGaHOs
Source: Alexandria
Functional: PBE
Structure: relaxed

Properties
- Crystal system: monoclinic
- Calculated density: 11.7 g/cm³
- Final energy: -52.21 eV/cell
- Symmetry: Cm (8)
- Total magnetization: 3.75 Bohr magnetons per cell

The structure in extended XYZ format:
```
8
Lattice="0.008 -3.238 -2.906 -1.451 -1.673 1.859 -6.184 5.658 0.263" Properties=species:S:1:pos:R:3 pbc="T T T"
Mn -5.838 5.025 -0.037
Mn -3.471 1.359 0.762
Ga -4.644 2.941 -0.979
Ga -2.278 -0.724 -0.181
H -3.172 1.207 -1.390
H -0.805 -2.458 -0.592
Os -0.833 -1.821 -2.288
Os -4.650 0.172 -1.227
```

***

# 2
Compound: SrHgMo4
Source: Alexandria
Functional: PBE
Structure: relaxed

Properties
- Crystal system: cubic
- ΔH_f (0 K): 680 meV/atom
- Calculated density: 9.5 g/cm³
- Symmetry: F-43m (216)
- Total magnetization: 0.00 Bohr magnetons per cell

The structure in extended XYZ format:
```
6
Lattice="0.000 3.889 3.889 3.889 0.000 3.889 3.889 3.889 0.000" Properties=species:S:1:pos:R:3 pbc="T T T"
Sr 5.833 5.833 5.833
Hg 0.000 0.000 0.000
Mo 2.920 4.857 4.857
Mo 4.857 4.857 2.920
Mo 4.857 2.920 4.857
Mo 2.920 2.920 2.920
```

***

# 3
Compound: ScPaNi10
Source: Alexandria
Functional: PBE
Structure: relaxed

Properties
- Crystal system: orthorhombic
- ΔH_f (0 K): -338 meV/atom
- Calculated density: 9.1 g/cm³
- Symmetry: Pmmm (47)
- Total magnetization: 1.52 Bohr magnetons per cell

The structure in extended XYZ format:
```
12
Lattice="-2.157 2.611 -2.108 -2.903 -3.544 -1.418 -4.829 1.323 6.580" Properties=species:S:1:pos:R:3 pbc="T T T"
Sc -3.866 -1.111 2.581
Pa 0.000 0.000 0.000
Ni -1.611 0.441 2.195
Ni -5.466 -0.672 4.761
Ni -2.266 -1.549 0.401
Ni -3.218 0.882 4.385
Ni -3.493 1.967 2.236
Ni -2.530 -0.467 -1.763
Ni -3.016 0.753 0.244
Ni -6.874 -0.364 2.809
Ni -4.470 -1.022 -0.466
Ni -5.420 1.412 3.520
```

***

Q: What is the total magnetization in the second record?
A: 0.00 Bohr magnetons per cell

***

Q: Which formula does entry 1 have?
A: MnGaHOs

***

Q: What is the calculated density in the second record?
A: 9.5 g/cm³

***

Q: The lowest calculated density belongs to which entry?
A: ScPaNi10